The following is a GGA-PBE calculation of crystalline BaZr3Ge at its relaxed geometry, from Alexandria.

The structure in POSCAR format:
```
BaZr3Ge
1.0
5.2704 0.0000 0.0000
0.0000 5.2704 0.0000
0.0000 0.0000 5.2704
Ba Zr Ge
1 3 1
Cartesian
0.0000 0.0000 0.0000 Ba
0.0000 2.6352 2.6352 Zr
2.6352 0.0000 2.6352 Zr
2.6352 2.6352 0.0000 Zr
2.6352 2.6352 2.6352 Ge
```

Calculated values
Total DFT energy (no corrections) (eV/atom): -6.0874
Total magnetization (μB per formula unit): 0.000
SG: Pm-3m

The following is a GGA-PBE calculation of crystalline BaZr2Ge at its relaxed geometry, from Alexandria.

The structure in POSCAR format:
```
BaZr2Ge
1.0
-2.5854 2.5854 10.0765
2.5854 -2.5854 10.0765
2.5854 2.5854 -10.0765
Ba Zr Ge
2 4 2
Cartesian
0.0000 0.0000 0.0000 Ba
0.0000 2.5854 5.0383 Ba
1.2927 -0.1612 7.5574 Zr
2.4242 1.2927 2.5191 Zr
1.2927 2.7466 -2.5191 Zr
0.1612 1.2927 12.5957 Zr
2.5854 0.0000 5.0383 Ge
0.0000 0.0000 10.0765 Ge
```

Calculated values
Total DFT energy (no corrections) (eV/atom): -5.5671
Total magnetization (μB per formula unit): 0.000
SG: I-42d

Q: Look up the total magnetization of the second one.
A: 0.000 μB per formula unit